Density functional theory data (GGA-PBE) for Mg2ZrZn after structural relaxation.

abc: 3.200 4.984 10.301
angles: 90.00 90.00 90.00
Space group Imm2 (No. 44)
Inequivalent atoms, fractional coordinates:
Mg1 0.000 0.000 0.000
Mg2 0.000 0.500 0.226
Zr1 0.000 0.000 0.453
Zn1 0.000 0.500 0.720

Results
**Calculated density**: 4.1 Mg/m³
**Energy of formation**: 0.0662 eV per atom
**E_tot**: -3.187 eV per atom